(1)
Compound: Nd2Sm4Ho2Mg
Source: the Alexandria database
Functional: GGA-PBE
Structure: relaxed

Lattice parameters (Å, degrees): 7.1157 8.5851 6.6700 120.14 120.10 79.40
Sites, in units of the cell vectors:
1 Nd 0.8357 0.1835 0.4877
2 Nd 0.1643 0.8165 0.5123
3 Sm 0.3424 0.3483 0.1565
4 Sm 0.3759 0.2185 0.5927
5 Sm 0.6576 0.6517 0.8435
6 Sm 0.6241 0.7815 0.4073
7 Ho 0.1385 0.6017 0.8339
8 Ho 0.8615 0.3983 0.1661
9 Mg 0.0000 0.0000 0.0000

## Properties
Final energy ... -4.22 eV per atom
Formation energy from the elements ... 0.130 eV per atom
Spin magnetization ... 0.0 μB per formula unit

=====

(2)
Compound: Y2AlBiSe
Source: the Alexandria database
Functional: GGA-PBE
Structure: relaxed

Lattice parameters (Å, degrees): 5.4325 4.8574 5.4325 90.00 90.00 90.00
Sites, in units of the cell vectors:
1 Se 0.0000 0.0000 0.0000
2 Y 0.5000 0.0000 0.0000
3 Y 0.0000 0.0000 0.5000
4 Al 0.0000 0.5000 0.0000
5 Bi 0.5000 0.5000 0.5000

## Properties
Final energy ... -5.20 eV per atom
E_form (uncorrected) ... -0.3914 eV/atom
Spin magnetization ... 0.0 μB per formula unit

=====

(3)
Compound: Ti2CrCoAs
Source: the Alexandria database
Functional: GGA-PBE
Structure: relaxed

Lattice parameters (Å, degrees): 4.6464 4.1310 4.6464 90.00 90.00 90.00
Sites, in units of the cell vectors:
1 Cr 0.5000 0.5000 0.5000
2 Ti 0.0000 0.0000 0.5000
3 Ti 0.5000 0.0000 0.0000
4 Co 0.0000 0.5000 0.0000
5 As 0.0000 0.0000 0.0000

## Properties
Final energy ... -6.69 eV per atom
Formation energy from the elements ... 0.745 eV per atom
Spin magnetization ... 0.0 μB per formula unit

=====

(4)
Compound: KReAs2
Source: the Alexandria database
Functional: GGA-PBE
Structure: relaxed

Lattice parameters (Å, degrees): 4.9452 2.6150 6.9922 90.00 90.00 90.00
Sites, in units of the cell vectors:
1 As 0.0000 0.9976 0.9642
2 As 0.5000 0.0009 0.2017
3 Re 0.5000 0.9997 0.8440
4 K 0.0000 0.5018 0.4902

## Properties
Final energy ... -5.23 eV per atom
Formation energy from the elements ... 0.485 eV per atom
Spin magnetization ... 0.0 μB per formula unit

=====

(5)
Compound: Pa2SbPt
Source: the Alexandria database
Functional: GGA-PBE
Structure: relaxed

Lattice parameters (Å, degrees): 4.1281 4.1281 7.6666 74.38 74.38 60.00
Each line ends with the local moment (μB).
Sites, in units of the cell vectors:
1 Pt 0.5000 0.5000 0.5000  0.02
2 Pa 0.7613 0.7613 0.7161  0.47
3 Pa 0.2387 0.2387 0.2839  0.47
4 Sb 0.0000 0.0000 0.0000  -0.01

## Properties
Final energy ... -7.91 eV per atom
E_form (uncorrected) ... -0.6238 eV/atom
Spin magnetization ... 1.2 μB per formula unit

=====

(6)
Compound: ReGe2Au
Source: the Alexandria database
Functional: GGA-PBE
Structure: relaxed

Lattice parameters (Å, degrees): 5.7532 5.7532 7.0022 65.74 65.74 90.00
Sites, in units of the cell vectors:
1 Re 0.2500 0.7500 0.5000
2 Re 0.5000 0.5000 0.0000
3 Ge 0.3750 0.4004 0.7500
4 Ge 0.5996 0.1250 0.2500
5 Ge 0.8750 0.8496 0.7500
6 Ge 0.1504 0.6250 0.2500
7 Au 0.0000 0.0000 0.0000
8 Au 0.7500 0.2500 0.5000

## Properties
Final energy ... -5.55 eV per atom
Formation energy from the elements ... 0.686 eV per atom
Spin magnetization ... 0.0 μB per formula unit

=====

(7)
Compound: Cr2RuAu
Source: the Alexandria database
Functional: GGA-PBE
Structure: relaxed

Lattice parameters (Å, degrees): 4.6013 4.6013 2.7528 90.00 90.00 108.60
Each line ends with the local moment (μB).
Sites, in units of the cell vectors:
1 Cr 0.5000 0.5000 0.0000  0.44
2 Cr 0.0000 0.0000 0.0000  0.44
3 Ru 0.5000 0.0000 0.5000  -0.14
4 Au 0.0000 0.5000 0.5000  -0.01

## Properties
Final energy ... -7.63 eV per atom
Formation energy from the elements ... 0.323 eV per atom
Spin magnetization ... 0.8 μB per formula unit

=====

(8)
Compound: LaPm2Sn2
Source: the Alexandria database
Functional: GGA-PBE
Structure: relaxed

Lattice parameters (Å, degrees): 5.2341 5.2340 13.1395 90.00 90.00 120.00
Sites, in units of the cell vectors:
1 Sn 0.3333 0.6667 0.6276
2 Sn 0.6667 0.3333 0.3724
3 Sn 0.3333 0.6667 0.8724
4 Sn 0.6667 0.3333 0.1276
5 La 0.0000 0.0000 0.7500
6 La 0.0000 0.0000 0.2500
7 Pm 0.3333 0.6667 0.2500
8 Pm 0.6667 0.3333 0.7500
9 Pm 0.0000 0.0000 0.0000
10 Pm 0.0000 0.0000 0.5000

## Properties
Final energy ... -4.79 eV per atom
Formation energy from the elements ... -0.308 eV per atom
Spin magnetization ... 0.0 μB per formula unit

=====

(9)
Compound: Tm2PbAu
Source: the Alexandria database
Functional: GGA-PBE
Structure: relaxed

Lattice parameters (Å, degrees): 3.7929 3.7929 9.0440 77.90 77.90 60.00
Sites, in units of the cell vectors:
1 Tm 0.7383 0.7383 0.7851
2 Tm 0.2617 0.2617 0.2149
3 Au 0.0000 0.0000 0.0000
4 Pb 0.5000 0.5000 0.5000

## Properties
Final energy ... -4.50 eV per atom
Formation energy from the elements ... -0.520 eV per atom
Spin magnetization ... 0.0 μB per formula unit

=====

(10)
Compound: LiCa2Bi
Source: the Alexandria database
Functional: GGA-PBE
Structure: relaxed

Lattice parameters (Å, degrees): 4.4658 5.1304 5.1304 90.00 90.00 90.00
Sites, in units of the cell vectors:
1 Ca 0.0000 0.0000 0.5000
2 Ca 0.0000 0.5000 0.0000
3 Bi 0.5000 0.0000 0.0000
4 Li 0.5000 0.5000 0.5000

## Properties
Final energy ... -2.99 eV per atom
Formation energy from the elements ... -0.538 eV per atom
Spin magnetization ... 0.0 μB per formula unit

=====

(11)
Compound: Al4CoRe
Source: the Alexandria database
Functional: GGA-PBE
Structure: relaxed

Lattice parameters (Å, degrees): 4.9445 4.9445 4.9445 60.00 60.00 60.00
Each line ends with the local moment (μB).
Sites, in units of the cell vectors:
1 Co 0.2500 0.2500 0.2500  1.48
2 Al 0.6247 0.1259 0.6247  -0.01
3 Al 0.1259 0.6247 0.6247  -0.01
4 Al 0.6247 0.6247 0.6247  -0.01
5 Al 0.6247 0.6247 0.1259  -0.01
6 Re 0.0000 0.0000 0.0000  0.36

## Properties
Final energy ... -5.55 eV per atom
Formation energy from the elements ... 0.207 eV per atom
Spin magnetization ... 1.8 μB per formula unit

=====

(12)
Compound: GdDyZn
Source: the Alexandria database
Functional: GGA-PBE
Structure: relaxed

Lattice parameters (Å, degrees): 3.5915 3.5915 6.6144 105.75 105.75 90.00
Each line ends with the local moment (μB).
Sites, in units of the cell vectors:
1 Gd 0.0196 0.0196 0.0393  7.25
2 Zn 0.6698 0.6698 0.3396  -0.01
3 Dy 0.3105 0.3105 0.6211  0.17

## Properties
Final energy ... -6.87 eV per atom
Formation energy from the elements ... -0.218 eV per atom
Spin magnetization ... 7.8 μB per formula unit